Material: CsAg5Cl6
Method: DFT, PBE
State: relaxed

Cell and atoms, written as POSCAR:
```
CsAg5Cl6
1.0
4.0299 -5.8339 0.0000
4.0299 5.8339 0.0000
-2.4751 0.0000 6.9050
Cs Ag Cl
1 5 6
direct
0.0000 0.0000 0.0000
0.1645 0.8355 0.5000
0.3598 0.6402 0.0000
0.5000 0.5000 0.5000
0.6402 0.3598 0.0000
0.8355 0.1645 0.5000
0.1777 0.5297 0.2392
0.2280 0.2280 0.6677
0.4703 0.8223 0.7608
0.5297 0.1777 0.2392
0.7720 0.7720 0.3323
0.8223 0.4703 0.7608
```

Properties
For the calculated total energy, the calculation gives -2.85 eV/atom. The value obtained for the magnetization is 0.00 μB per cell. Its space-group type is No. 12.

Material: Pr5ErMg4
Method: DFT, PBE
State: relaxed

Cell and atoms, written as POSCAR:
```
Pr5ErMg4
1.0
3.8618 0.0000 0.0000
0.0000 3.8618 0.0000
0.0000 0.0000 20.6275
Pr Er Mg
5 1 4
direct
0.0000 0.0000 0.0000
0.0000 0.0000 0.1923
0.0000 0.0000 0.3856
0.0000 0.0000 0.6144
0.0000 0.0000 0.8077
0.5000 0.5000 0.5000
0.5000 0.5000 0.0965
0.5000 0.5000 0.2892
0.5000 0.5000 0.7108
0.5000 0.5000 0.9035
```

Properties
For the calculated total energy, the calculation gives -3.56 eV/atom. The calculation puts the formation energy at -0.078 eV per atom. The value obtained for the magnetization is 0.00 μB per cell. Its space-group type is No. 123.

Material: Y5Sn4H
Method: DFT, PBE
State: relaxed

Cell and atoms, written as POSCAR:
```
Y5Sn4H
1.0
-4.7833 4.7833 3.0841
4.7833 -4.7833 3.0841
4.7833 4.7833 -3.0841
Y Sn H
5 4 1
direct
0.0000 0.0000 0.0000
0.1571 0.3446 0.6158
0.3446 0.7288 0.1875
0.5414 0.1571 0.8125
0.7288 0.5414 0.3842
0.0350 0.6398 0.7921
0.2429 0.0350 0.3952
0.6398 0.8477 0.6048
0.8477 0.2429 0.2079
0.3793 0.3793 0.0000
```

Properties
For the calculated total energy, the calculation gives -5.64 eV/atom. The value obtained for the magnetization is 0.00 μB per cell. Its space-group type is No. 79.

Material: ScTa2Sb
Method: DFT, PBE
State: relaxed

Cell and atoms, written as POSCAR:
```
ScTa2Sb
1.0
2.9568 -5.0102 0.0000
2.9568 5.0102 0.0000
-1.4432 0.0000 2.7036
Sc Ta Sb
1 2 1
direct
0.0000 0.0000 0.0000
0.0000 0.5000 0.5000
0.5000 0.0000 0.5000
0.5000 0.5000 0.0000
```

Properties
For the calculated total energy, the calculation gives -8.47 eV/atom. The value obtained for the magnetization is 0.00 μB per cell. Its space-group type is No. 12.

Material: La4Cd2Sb
Method: DFT, PBE
State: relaxed

Cell and atoms, written as POSCAR:
```
La4Cd2Sb
1.0
2.7407 1.5824 8.9725
-2.7407 1.5824 8.9725
0.0000 -3.1647 8.9725
La Cd Sb
4 2 1
direct
0.1223 0.1223 0.1223
0.3734 0.3734 0.3734
0.6266 0.6266 0.6266
0.8777 0.8777 0.8777
0.2538 0.2538 0.2538
0.7462 0.7462 0.7462
0.5000 0.5000 0.5000
```

Properties
For the calculated total energy, the calculation gives -4.03 eV/atom. The value obtained for the magnetization is 0.01 μB per cell. Its space-group type is No. 166.

Material: BaHgBi2Pd2
Method: DFT, PBE
State: relaxed

Cell and atoms, written as POSCAR:
```
BaHgBi2Pd2
1.0
5.1552 0.0000 0.0000
0.0000 5.1552 0.0000
0.0000 0.0000 6.6291
Ba Hg Bi Pd
1 1 2 2
direct
0.0000 0.0000 0.0000
0.0000 0.0000 0.5000
0.5000 0.5000 0.2549
0.5000 0.5000 0.7451
0.0000 0.5000 0.5000
0.5000 0.0000 0.5000
```

Properties
For the calculated total energy, the calculation gives -3.72 eV/atom. The calculation puts the formation energy at -0.327 eV per atom. The value obtained for the magnetization is 0.00 μB per cell. Its space-group type is No. 123.

Material: Sc2CuTc
Method: DFT, PBE
State: relaxed

Cell and atoms, written as POSCAR:
```
Sc2CuTc
1.0
3.2807 0.0000 0.0000
0.0000 3.2807 0.0000
0.0000 0.0000 6.4449
Sc Cu Tc
2 1 1
direct
0.0000 0.0000 0.2372
0.0000 0.0000 0.7628
0.5000 0.5000 0.5000
0.5000 0.5000 0.0000
```

Properties
For the calculated total energy, the calculation gives -7.05 eV/atom. The calculation puts the formation energy at -0.267 eV per atom. The value obtained for the magnetization is 0.00 μB per cell. Its space-group type is No. 123.

Material: BaCdTcRu2
Method: DFT, PBE
State: relaxed

Cell and atoms, written as POSCAR:
```
BaCdTcRu2
1.0
4.7392 0.0000 0.0000
0.0000 4.7392 0.0000
0.0000 0.0000 5.7223
Ba Cd Tc Ru
1 1 1 2
direct
0.0000 0.0000 0.0000
0.5000 0.5000 0.0000
0.0000 0.0000 0.5000
0.0000 0.5000 0.5000
0.5000 0.0000 0.5000
```

Properties
For the calculated total energy, the calculation gives -5.21 eV/atom. The calculation puts the formation energy at 1.136 eV per atom. The value obtained for the magnetization is 0.33 μB per cell. Its space-group type is No. 123.

Material: La2MnOs
Method: DFT, PBE
State: relaxed

Cell and atoms, written as POSCAR:
```
La2MnOs
1.0
0.0000 3.5177 3.5177
3.5177 0.0000 3.5177
3.5177 3.5177 0.0000
La Mn Os
2 1 1
direct
0.0000 0.0000 0.0000
0.2500 0.2500 0.2500
0.5000 0.5000 0.5000
0.7500 0.7500 0.7500
```

Properties
For the calculated total energy, the calculation gives -7.23 eV/atom. Its polymorph energy (0 for the lowest one) is 32.8 kJ/mol of atoms. The calculation puts the formation energy at 0.334 eV per atom. The value obtained for the magnetization is 4.29 μB per cell. Its space-group type is No. 216.

Material: MnTlSb
Method: DFT, PBE
State: relaxed

Cell and atoms, written as POSCAR:
```
MnTlSb
1.0
4.4794 0.0000 0.0000
-2.2397 3.8793 0.0000
0.0000 0.0000 4.8614
Mn Tl Sb
1 1 1
direct
0.0000 0.0000 0.0000
0.6667 0.3333 0.6009
0.3333 0.6667 0.1338
```

Properties
For the calculated total energy, the calculation gives -4.92 eV/atom. The value obtained for the magnetization is 4.24 μB per cell. Its space-group type is No. 156.

Material: Zr3ReB
Method: DFT, PBE
State: relaxed

Cell and atoms, written as POSCAR:
```
Zr3ReB
1.0
5.0212 0.0000 0.0000
0.0000 5.0212 0.0000
0.0000 0.0000 5.0212
Zr Re B
3 1 1
direct
0.0000 0.0000 0.5000
0.0000 0.5000 0.0000
0.5000 0.0000 0.0000
0.0000 0.0000 0.0000
0.5000 0.5000 0.5000
```

Properties
For the calculated total energy, the calculation gives -7.56 eV/atom. Its polymorph energy (0 for the lowest one) is 120.5 kJ/mol of atoms. The calculation puts the formation energy at 1.392 eV per atom. The value obtained for the magnetization is 0.00 μB per cell. Its space-group type is No. 221.

Material: CsZnAgBr4
Method: DFT, PBE
State: relaxed

Cell and atoms, written as POSCAR:
```
CsZnAgBr4
1.0
6.7673 0.0000 0.0000
0.0000 7.7906 0.0000
-2.7529 0.0000 9.3594
Cs Zn Ag Br
2 2 2 8
direct
0.2344 0.2500 0.4229
0.7656 0.7500 0.5771
0.2966 0.7500 0.1869
0.7034 0.2500 0.8131
0.3474 0.2500 0.9851
0.6526 0.7500 0.0149
0.0257 0.7500 0.9662
0.1878 0.7500 0.4034
0.4599 0.0073 0.7955
0.4599 0.4927 0.7955
0.5401 0.5073 0.2045
0.5401 0.9927 0.2045
0.8122 0.2500 0.5966
0.9743 0.2500 0.0338
```

Properties
For the calculated total energy, the calculation gives -2.67 eV/atom. The value obtained for the magnetization is 0.00 μB per cell. Its space-group type is No. 11.

Material: CaPm2YHg4
Method: DFT, PBE
State: relaxed

Cell and atoms, written as POSCAR:
```
CaPm2YHg4
1.0
2.6746 1.5442 8.7321
-2.6746 1.5442 8.7321
0.0000 -3.0883 8.7321
Ca Pm Y Hg
1 2 1 4
direct
0.0000 0.0000 0.0000
0.2518 0.2518 0.2518
0.7482 0.7482 0.7482
0.5000 0.5000 0.5000
0.1266 0.1266 0.1266
0.3767 0.3767 0.3767
0.6232 0.6232 0.6232
0.8734 0.8734 0.8734
```

Properties
For the calculated total energy, the calculation gives -2.92 eV/atom. The calculation puts the formation energy at -0.522 eV per atom. The value obtained for the magnetization is 0.00 μB per cell. Its space-group type is No. 166.

Material: Nd2NiAu2
Method: DFT, PBE
State: relaxed

Cell and atoms, written as POSCAR:
```
Nd2NiAu2
1.0
5.3273 -2.0287 0.0000
5.3273 2.0287 0.0000
-4.3111 0.0000 10.6597
Nd Ni Au
4 2 4
direct
0.0081 0.0081 0.3412
0.1882 0.1882 0.1214
0.8118 0.8118 0.8786
0.9919 0.9919 0.6588
0.2991 0.2991 0.6859
0.7009 0.7009 0.3141
0.3399 0.3399 0.4429
0.4669 0.4669 0.1151
0.5331 0.5331 0.8849
0.6600 0.6600 0.5571
```

Properties
For the calculated total energy, the calculation gives -5.03 eV/atom. The calculation puts the formation energy at -0.651 eV per atom. The value obtained for the magnetization is 0.00 μB per cell. Its space-group type is No. 12.